1.
Below is an optimized crystal structure of AlNi3, with properties calculated at the PBE-GGA level.

abc: 4.798 4.798 14.441
angles: 90.00 90.00 120.00
Fractional positions:
1 Al 0.000 0.500 0.000
2 Al 0.000 0.500 0.500
3 Al 0.500 0.000 0.000
4 Al 0.500 0.000 0.500
5 Al 0.500 0.500 0.000
6 Al 0.500 0.500 0.500
7 Ni 0.000 0.000 0.092
8 Ni 0.000 0.000 0.408
9 Ni 0.000 0.000 0.592
10 Ni 0.000 0.000 0.908
11 Ni 0.161 0.321 0.250
12 Ni 0.161 0.839 0.250
13 Ni 0.321 0.161 0.750
14 Ni 0.333 0.667 0.124
15 Ni 0.333 0.667 0.376
16 Ni 0.333 0.667 0.655
17 Ni 0.333 0.667 0.845
18 Ni 0.667 0.333 0.155
19 Ni 0.667 0.333 0.345
20 Ni 0.667 0.333 0.624
21 Ni 0.667 0.333 0.876
22 Ni 0.679 0.839 0.250
23 Ni 0.839 0.161 0.750
24 Ni 0.839 0.679 0.750

Size of the total moment in μB per formula unit: 0.09
Symmetry: No. 194
DFT total energy in eV per atom: -5.0796

2.
Below is an optimized crystal structure of AcNbGe3, with properties calculated at the PBE-GGA level.

abc: 6.511 6.511 5.968
angles: 90.00 90.00 120.00
Fractional positions:
1 Ac 0.333 0.667 0.250
2 Ac 0.667 0.333 0.750
3 Nb 0.000 0.000 0.000
4 Nb 0.000 0.000 0.500
5 Ge 0.199 0.398 0.750
6 Ge 0.199 0.801 0.750
7 Ge 0.398 0.199 0.250
8 Ge 0.602 0.801 0.750
9 Ge 0.801 0.199 0.250
10 Ge 0.801 0.602 0.250

Size of the total moment in μB per formula unit: 0.00
Symmetry: No. 194
DFT total energy in eV per atom: -6.1829

3.
Below is an optimized crystal structure of Li3Ag, with properties calculated at the PBE-GGA level.

abc: 5.037 5.037 5.037
angles: 90.00 90.00 90.00
Fractional positions:
1 Li 0.000 0.250 0.500
2 Li 0.000 0.750 0.500
3 Li 0.250 0.500 0.000
4 Li 0.500 0.000 0.250
5 Li 0.500 0.000 0.750
6 Li 0.750 0.500 0.000
7 Ag 0.000 0.000 0.000
8 Ag 0.500 0.500 0.500

Relative energy among the computed polymorphs in meV/atom: 26
Symmetry: No. 223

4.
Below is an optimized crystal structure of Re17Ni12, with properties calculated at the PBE-GGA level.

abc: 7.977 7.977 7.977
angles: 109.47 109.47 109.47
Fractional positions:
1 Re 0.000 0.000 0.000
2 Re 0.000 0.000 0.649
3 Re 0.000 0.196 0.383
4 Re 0.000 0.383 0.196
5 Re 0.000 0.649 0.000
6 Re 0.187 0.804 0.804
7 Re 0.196 0.000 0.383
8 Re 0.196 0.383 0.000
9 Re 0.351 0.351 0.351
10 Re 0.383 0.000 0.196
11 Re 0.383 0.196 0.000
12 Re 0.617 0.617 0.813
13 Re 0.617 0.813 0.617
14 Re 0.649 0.000 0.000
15 Re 0.804 0.187 0.804
16 Re 0.804 0.804 0.187
17 Re 0.813 0.617 0.617
18 Ni 0.000 0.401 0.681
19 Ni 0.000 0.681 0.401
20 Ni 0.280 0.599 0.599
21 Ni 0.319 0.319 0.720
22 Ni 0.319 0.720 0.319
23 Ni 0.401 0.000 0.681
24 Ni 0.401 0.681 0.000
25 Ni 0.599 0.280 0.599
26 Ni 0.599 0.599 0.280
27 Ni 0.681 0.000 0.401
28 Ni 0.681 0.401 0.000
29 Ni 0.720 0.319 0.319

Size of the total moment in μB per formula unit: 0.06
Energy relative to the elements in meV per atom: 133
Relative energy among the computed polymorphs in meV/atom: 95
Symmetry: No. 217

5.
Below is an optimized crystal structure of RbTbIn, with properties calculated at the PBE-GGA level.

abc: 5.616 5.616 5.616
angles: 60.00 60.00 60.00
Fractional positions:
1 Rb 0.000 0.000 0.000
2 Tb 0.500 0.500 0.500
3 In 0.250 0.250 0.250

Size of the total moment in μB per formula unit: 0.01
Symmetry: No. 216
DFT total energy in eV per atom: -2.3590

6.
Below is an optimized crystal structure of CsHfGa, with properties calculated at the PBE-GGA level.

abc: 5.220 5.220 5.220
angles: 60.00 60.00 60.00
Fractional positions:
1 Cs 0.000 0.000 0.000
2 Hf 0.500 0.500 0.500
3 Ga 0.250 0.250 0.250

Size of the total moment in μB per formula unit: 0.01
Relative energy among the computed polymorphs in meV/atom: 85
Symmetry: No. 216

7.
Below is an optimized crystal structure of DyTe2, with properties calculated at the PBE-GGA level.

abc: 6.354 6.354 6.354
angles: 60.00 60.00 60.00
Fractional positions:
1 Dy 0.125 0.125 0.125
2 Dy 0.875 0.875 0.875
3 Te 0.000 0.500 0.500
4 Te 0.500 0.000 0.500
5 Te 0.500 0.500 0.000
6 Te 0.500 0.500 0.500

Size of the total moment in μB per formula unit: 0.31
Symmetry: No. 227
DFT total energy in eV per atom: -3.5871

8.
Below is an optimized crystal structure of Tl2CoAuCl6, with properties calculated at the PBE-GGA level.

abc: 6.958 6.958 6.958
angles: 60.00 60.00 60.00
Fractional positions:
1 Tl 0.250 0.250 0.250
2 Tl 0.750 0.750 0.750
3 Co 0.000 0.000 0.000
4 Au 0.500 0.500 0.500
5 Cl 0.234 0.234 0.766
6 Cl 0.234 0.766 0.234
7 Cl 0.234 0.766 0.766
8 Cl 0.766 0.234 0.234
9 Cl 0.766 0.234 0.766
10 Cl 0.766 0.766 0.234

Size of the total moment in μB per formula unit: 1.49
Symmetry: No. 225
DFT total energy in eV per atom: -3.2119

9.
Below is an optimized crystal structure of GdCuSnSe3, with properties calculated at the PBE-GGA level.

abc: 9.504 9.504 8.172
angles: 103.17 103.17 24.67
Fractional positions:
1 Gd 0.161 0.161 0.083
2 Gd 0.839 0.839 0.917
3 Cu 0.459 0.459 0.792
4 Cu 0.541 0.541 0.208
5 Sn 0.121 0.121 0.565
6 Sn 0.879 0.879 0.435
7 Se 0.000 0.000 0.000
8 Se 0.323 0.323 0.156
9 Se 0.326 0.326 0.667
10 Se 0.500 0.500 0.500
11 Se 0.674 0.674 0.333
12 Se 0.677 0.677 0.844

Size of the total moment in μB per formula unit: 0.00
Relative energy among the computed polymorphs in meV/atom: 62
Symmetry: No. 12

10.
Below is an optimized crystal structure of CsAgPdS3, with properties calculated at the PBE-GGA level.

abc: 8.023 8.023 10.318
angles: 90.00 90.00 152.62
Fractional positions:
1 Cs 0.237 0.763 0.750
2 Cs 0.763 0.237 0.250
3 Ag 0.061 0.939 0.250
4 Ag 0.939 0.061 0.750
5 Pd 0.500 0.500 0.000
6 Pd 0.500 0.500 0.500
7 S 0.099 0.901 0.021
8 S 0.099 0.901 0.479
9 S 0.453 0.547 0.250
10 S 0.547 0.453 0.750
11 S 0.901 0.099 0.521
12 S 0.901 0.099 0.979

Relative energy among the computed polymorphs in meV/atom: 69
Symmetry: No. 63

11.
Below is an optimized crystal structure of YHo2Ni9, with properties calculated at the PBE-GGA level.

abc: 8.569 8.569 8.569
angles: 33.46 33.46 33.46
Fractional positions:
1 Y 0.000 0.000 0.000
2 Ho 0.139 0.139 0.139
3 Ho 0.861 0.861 0.861
4 Ni 0.081 0.583 0.583
5 Ni 0.333 0.333 0.333
6 Ni 0.417 0.417 0.919
7 Ni 0.417 0.919 0.417
8 Ni 0.500 0.500 0.500
9 Ni 0.583 0.081 0.583
10 Ni 0.583 0.583 0.081
11 Ni 0.667 0.667 0.667
12 Ni 0.919 0.417 0.417

Size of the total moment in μB per formula unit: 0.75
Energy relative to the elements in meV per atom: -421
Symmetry: No. 166

12.
Below is an optimized crystal structure of In2Ag9, with properties calculated at the PBE-GGA level.

abc: 2.969 2.969 29.236
angles: 90.00 90.00 120.00
Fractional positions:
1 In 0.333 0.667 0.412
2 In 0.667 0.333 0.588
3 Ag 0.000 0.000 0.000
4 Ag 0.000 0.000 0.240
5 Ag 0.000 0.000 0.760
6 Ag 0.333 0.667 0.159
7 Ag 0.333 0.667 0.678
8 Ag 0.333 0.667 0.921
9 Ag 0.667 0.333 0.079
10 Ag 0.667 0.333 0.322
11 Ag 0.667 0.333 0.841

Symmetry: No. 164
DFT total energy in eV per atom: -2.7513

13.
Below is an optimized crystal structure of CsHfBeAu, with properties calculated at the PBE-GGA level.

abc: 4.925 4.925 4.925
angles: 60.00 60.00 60.00
Fractional positions:
1 Cs 0.000 0.000 0.000
2 Hf 0.750 0.750 0.750
3 Be 0.250 0.250 0.250
4 Au 0.500 0.500 0.500

Size of the total moment in μB per formula unit: 0.00
Relative energy among the computed polymorphs in meV/atom: 0
Symmetry: No. 216

14.
Below is an optimized crystal structure of FeCoGePd, with properties calculated at the PBE-GGA level.

abc: 4.221 4.221 4.221
angles: 60.00 60.00 60.00
Fractional positions:
1 Fe 0.000 0.000 0.000
2 Co 0.750 0.750 0.750
3 Ge 0.500 0.500 0.500
4 Pd 0.250 0.250 0.250

Size of the total moment in μB per formula unit: 4.19
Relative energy among the computed polymorphs in meV/atom: 0
Symmetry: No. 216

15.
Below is an optimized crystal structure of TbCdAu, with properties calculated at the PBE-GGA level.

abc: 7.813 7.813 3.927
angles: 90.00 90.00 120.00
Fractional positions:
1 Tb 0.000 0.402 0.000
2 Tb 0.402 0.000 0.000
3 Tb 0.598 0.598 0.000
4 Cd 0.000 0.737 0.500
5 Cd 0.263 0.263 0.500
6 Cd 0.737 0.000 0.500
7 Au 0.000 0.000 0.000
8 Au 0.333 0.667 0.500
9 Au 0.667 0.333 0.500

Size of the total moment in μB per formula unit: 0.01
Energy relative to the elements in meV per atom: -669
Symmetry: No. 189

16.
Below is an optimized crystal structure of CsRbCdSn, with properties calculated at the PBE-GGA level.

abc: 6.985 7.359 7.359
angles: 73.46 90.00 90.00
Fractional positions:
1 Cs 0.250 0.148 0.852
2 Cs 0.750 0.852 0.148
3 Rb 0.250 0.808 0.512
4 Rb 0.750 0.512 0.808
5 Cd 0.000 0.328 0.328
6 Cd 0.500 0.328 0.328
7 Sn 0.250 0.585 0.084
8 Sn 0.750 0.084 0.585

Relative energy among the computed polymorphs in meV/atom: 1
Symmetry: No. 40

17.
Below is an optimized crystal structure of Hf3AsC2, with properties calculated at the PBE-GGA level.

abc: 3.381 3.381 17.875
angles: 90.00 90.00 120.00
Fractional positions:
1 Hf 0.000 0.000 0.000
2 Hf 0.000 0.000 0.500
3 Hf 0.333 0.667 0.142
4 Hf 0.333 0.667 0.358
5 Hf 0.667 0.333 0.642
6 Hf 0.667 0.333 0.858
7 As 0.000 0.000 0.250
8 As 0.000 0.000 0.750
9 C 0.333 0.667 0.576
10 C 0.333 0.667 0.924
11 C 0.667 0.333 0.076
12 C 0.667 0.333 0.424

Size of the total moment in μB per formula unit: 0.01
Symmetry: No. 194
DFT total energy in eV per atom: -9.8112

18.
Below is an optimized crystal structure of HoRePb, with properties calculated at the PBE-GGA level.

abc: 4.738 4.738 4.738
angles: 60.00 60.00 60.00
Fractional positions:
1 Ho 0.000 0.000 0.000
2 Re 0.500 0.500 0.500
3 Pb 0.250 0.250 0.250

Size of the total moment in μB per formula unit: 0.19
Symmetry: No. 216
DFT total energy in eV per atom: -6.0649

19.
Below is an optimized crystal structure of BaHoHf, with properties calculated at the PBE-GGA level.

abc: 5.275 5.275 5.275
angles: 60.00 60.00 60.00
Fractional positions:
1 Ba 0.000 0.000 0.000
2 Ho 0.250 0.250 0.250
3 Hf 0.750 0.750 0.750

Size of the total moment in μB per formula unit: 0.79
Symmetry: No. 216
DFT total energy in eV per atom: -4.0683

20.
Below is an optimized crystal structure of HoLuIn2Pt4, with properties calculated at the PBE-GGA level.

abc: 4.563 4.563 8.944
angles: 90.00 90.00 120.00
Fractional positions:
1 Ho 0.000 0.000 0.000
2 Lu 0.667 0.333 0.500
3 In 0.333 0.667 0.251
4 In 0.333 0.667 0.749
5 Pt 0.000 0.000 0.344
6 Pt 0.000 0.000 0.656
7 Pt 0.667 0.333 0.160
8 Pt 0.667 0.333 0.840

Size of the total moment in μB per formula unit: 0.00
Symmetry: No. 187
DFT total energy in eV per atom: -5.8223

21.
Below is an optimized crystal structure of NaErGe, with properties calculated at the PBE-GGA level.

abc: 4.872 4.872 4.872
angles: 60.00 60.00 60.00
Fractional positions:
1 Na 0.000 0.000 0.000
2 Er 0.750 0.750 0.750
3 Ge 0.500 0.500 0.500

Size of the total moment in μB per formula unit: 0.00
Symmetry: No. 216
DFT total energy in eV per atom: -3.4388

22.
Below is an optimized crystal structure of Er3Ga5, with properties calculated at the PBE-GGA level.

abc: 11.369 9.606 6.048
angles: 90.00 90.00 90.00
Fractional positions:
1 Er 0.074 0.250 0.152
2 Er 0.148 0.509 0.610
3 Er 0.148 0.991 0.610
4 Er 0.352 0.009 0.110
5 Er 0.352 0.491 0.110
6 Er 0.426 0.750 0.652
7 Er 0.574 0.250 0.348
8 Er 0.648 0.509 0.890
9 Er 0.648 0.991 0.890
10 Er 0.852 0.009 0.390
11 Er 0.852 0.491 0.390
12 Er 0.926 0.750 0.848
13 Ga 0.005 0.250 0.627
14 Ga 0.091 0.552 0.125
15 Ga 0.091 0.948 0.125
16 Ga 0.201 0.750 0.896
17 Ga 0.248 0.750 0.327
18 Ga 0.252 0.250 0.827
19 Ga 0.299 0.250 0.396
20 Ga 0.409 0.052 0.625
21 Ga 0.409 0.448 0.625
22 Ga 0.495 0.750 0.127
23 Ga 0.505 0.250 0.873
24 Ga 0.591 0.552 0.375
25 Ga 0.591 0.948 0.375
26 Ga 0.701 0.750 0.604
27 Ga 0.748 0.750 0.173
28 Ga 0.752 0.250 0.673
29 Ga 0.799 0.250 0.104
30 Ga 0.909 0.052 0.875
31 Ga 0.909 0.448 0.875
32 Ga 0.995 0.750 0.373

Size of the total moment in μB per formula unit: 0.00
Symmetry: No. 62
DFT total energy in eV per atom: -4.2466